# Fe2Cl PBE optimized geometry
# - crystal system = trigonal
# - DOS at the Fermi energy (states/eV per cell) = 2.123
# - volume (Å³/cell) = 42.5
# - energy above the most stable polymorph in this dataset (eV per atom) = 0.588
data_Fe2Cl
_chemical_formula_sum 'Fe2 Cl1'
_cell_length_a 4.1606
_cell_length_b 4.1606
_cell_length_c 2.8345
_cell_angle_alpha 90.00
_cell_angle_beta 90.00
_cell_angle_gamma 120.00
_symmetry_space_group_name_H-M 'P -3 m 1'
_symmetry_Int_Tables_number 164
_symmetry_space_group_name_Hall '-P 3 2"'
loop_
_atom_site_label
_atom_site_type_symbol
_atom_site_fract_x
_atom_site_fract_y
_atom_site_fract_z
Fe1 Fe 0.3333 0.6667 0.3256
Cl1 Cl 0.0000 0.0000 0.5000

***

# FeCl2 PBE optimized geometry
# - crystal system = tetragonal
# - DOS at the Fermi energy (states/eV per cell) = 6.720
# - volume (Å³/cell) = 270.1
data_FeCl2
_chemical_formula_sum 'Fe4 Cl8'
_cell_length_a 3.102
_cell_length_b 3.102
_cell_length_c 28.081
_cell_angle_alpha 90.00
_cell_angle_beta 90.00
_cell_angle_gamma 90.00
_symmetry_space_group_name_H-M 'I 41/a m d'
_symmetry_Int_Tables_number 141
loop_
_symmetry_equiv_pos_as_xyz
'x,y,z'
'-x,-y,-z'
'-y+1/4,x+3/4,z+1/4'
'y+1/4,-x+3/4,-z+1/4'
'-x+1/2,-y,z+1/2'
'x+1/2,y,-z+1/2'
'y+1/4,-x+1/4,z+3/4'
'-y+1/4,x+1/4,-z+3/4'
'x,-y,-z'
'-x,y,z'
'-y+1/4,-x+1/4,-z+3/4'
'y+1/4,x+1/4,z+3/4'
'-x+1/2,y,-z+1/2'
'x+1/2,-y,z+1/2'
'y+1/4,x+3/4,-z+1/4'
'-y+1/4,-x+3/4,z+1/4'
'x+1/2,y+1/2,z+1/2'
'-x+1/2,-y+1/2,-z+1/2'
'-y+3/4,x+1/4,z+3/4'
'y+3/4,-x+1/4,-z+3/4'
'-x,-y+1/2,z'
'x,y+1/2,-z'
'y+3/4,-x+3/4,z+1/4'
'-y+3/4,x+3/4,-z+1/4'
'x+1/2,-y+1/2,-z+1/2'
'-x+1/2,y+1/2,z+1/2'
'-y+3/4,-x+3/4,-z+1/4'
'y+3/4,x+3/4,z+1/4'
'-x,y+1/2,-z'
'x,-y+1/2,z'
'y+3/4,x+1/4,-z+3/4'
'-y+3/4,-x+1/4,z+3/4'
loop_
_atom_site_label
_atom_site_type_symbol
_atom_site_fract_x
_atom_site_fract_y
_atom_site_fract_z
Fe1 Fe 0.000 0.250 0.375
Cl1 Cl 0.000 0.250 0.822

***

Computed formation energy (no corrections), in the same sequence as the records: 0.544, -0.374 eV per atom.